(1)
DFT (PBEsol) results for an optimized crystal structure of Zn2FeAs.

The total energy is -4.173 eV/atom. For the volume, the calculation gives 57 Å³ per cell. Its density of states at the Fermi level is 1.9 states/eV/f.u.

Unit cell a=2.720 b=4.236 c=5.156 alpha=90.00 beta=105.26 gamma=90.00
Site moments in Bohr magnetons follow the coordinates.
Element x y z (fractional)
As 0.198 0.000 0.522  -0.01
Fe 0.329 0.500 0.781  2.05
Zn 0.921 0.000 0.967  -0.04
Zn 0.052 0.500 0.229  -0.03

---

(2)
DFT (PBEsol) results for an optimized crystal structure of Cd3Au.

The total energy is -2.012 eV/atom. For the volume, the calculation gives 152 Å³ per cell. Its density of states at the Fermi level is 0.7 states/eV/f.u.

Unit cell a=4.790 b=5.262 c=6.031 alpha=90.00 beta=90.00 gamma=90.00
Element x y z (fractional)
Au 0.000 0.678 0.000
Au 0.500 0.322 0.500
Cd 0.500 0.350 0.000
Cd 0.000 0.170 0.752
Cd 0.500 0.830 0.748
Cd 0.000 0.650 0.500
Cd 0.000 0.170 0.248
Cd 0.500 0.830 0.252

---

(3)
DFT (PBEsol) results for an optimized crystal structure of LaSO5.

The total energy is -7.183 eV/atom. For the volume, the calculation gives 387 Å³ per cell.

Unit cell a=4.580 b=6.885 c=12.807 alpha=90.00 beta=90.00 gamma=106.79
Site moments in Bohr magnetons follow the coordinates.
Element x y z (fractional)
La 0.645 0.803 0.431  -0.02
La 0.145 0.303 0.069  -0.02
La 0.355 0.197 0.569  -0.02
La 0.855 0.697 0.931  -0.02
S 0.485 0.879 0.144  0.00
S 0.985 0.379 0.356  0.00
S 0.515 0.121 0.856  0.00
S 0.015 0.621 0.644  0.00
O 0.573 0.806 0.243  0.02
O 0.073 0.306 0.257  0.02
O 0.427 0.194 0.757  0.02
O 0.927 0.694 0.743  0.02
O 0.797 0.067 0.564  0.60
O 0.297 0.567 0.936  0.60
O 0.203 0.933 0.436  0.60
O 0.703 0.433 0.064  0.60
O 0.860 0.549 0.341  0.02
O 0.360 0.049 0.159  0.02
O 0.140 0.451 0.659  0.02
O 0.640 0.951 0.841  0.02
O 0.253 0.439 0.429  0.01
O 0.753 0.939 0.071  0.01
O 0.747 0.561 0.571  0.01
O 0.247 0.061 0.929  0.01
O 0.252 0.796 0.592  0.18
O 0.752 0.296 0.908  0.18
O 0.748 0.204 0.408  0.18
O 0.248 0.704 0.092  0.18

---

(4)
DFT (PBEsol) results for an optimized crystal structure of MgZrRu2F.

The total energy is -6.517 eV/atom. For the volume, the calculation gives 78 Å³ per cell. Its density of states at the Fermi level is 3.8 states/eV/f.u.

Unit cell a=4.125 b=4.340 c=4.340 alpha=90.00 beta=90.00 gamma=90.00
Element x y z (fractional)
Ru 0.000 0.000 0.500
Ru 0.000 0.500 0.000
Mg 0.500 0.500 0.500
Zr 0.500 0.000 0.000
F 0.000 0.000 0.000

---

(5)
DFT (PBEsol) results for an optimized crystal structure of LiTePb2.

The total energy is -3.605 eV/atom. For the volume, the calculation gives 110 Å³ per cell. Its density of states at the Fermi level is 1.3 states/eV/f.u.

Unit cell a=4.494 b=4.481 c=5.440 alpha=90.00 beta=90.00 gamma=90.00
Element x y z (fractional)
Li 0.000 0.500 0.500
Pb 0.000 0.000 0.000
Pb 0.500 0.500 0.000
Te 0.500 0.000 0.500

---

(6)
DFT (PBEsol) results for an optimized crystal structure of HgIr2C.

The total energy is -5.680 eV/atom. For the volume, the calculation gives 57 Å³ per cell. Its density of states at the Fermi level is 1.9 states/eV/f.u.

Unit cell a=4.308 b=4.308 c=4.308 alpha=60.00 beta=60.00 gamma=60.00
Element x y z (fractional)
C 0.000 0.000 0.000
Ir 0.250 0.250 0.250
Ir 0.750 0.750 0.750
Hg 0.500 0.500 0.500

---

(7)
DFT (PBEsol) results for an optimized crystal structure of YScAs2.

The total energy is -7.397 eV/atom. For the volume, the calculation gives 87 Å³ per cell. Its density of states at the Fermi level is 0.6 states/eV/f.u.

Unit cell a=3.951 b=3.951 c=6.828 alpha=73.18 beta=73.18 gamma=60.00
Element x y z (fractional)
Y 0.000 0.000 0.000
Sc 0.500 0.500 0.500
As 0.245 0.245 0.265
As 0.755 0.755 0.735

---

(8)
DFT (PBEsol) results for an optimized crystal structure of Al2ZnBr.

The total energy is -2.607 eV/atom. For the volume, the calculation gives 214 Å³ per cell. Its density of states at the Fermi level is 3.5 states/eV/f.u.

Unit cell a=5.915 b=5.915 c=7.402 alpha=113.55 beta=113.55 gamma=90.00
Element x y z (fractional)
Zn 0.750 0.250 0.500
Zn 0.500 0.500 0.000
Al 0.822 0.375 0.250
Al 0.428 0.875 0.250
Al 0.625 0.572 0.750
Al 0.125 0.178 0.750
Br 0.250 0.750 0.500
Br 0.000 0.000 0.000